i | # PBE Zn3Cu8, optimized geometry
data_Zn3Cu8
_chemical_formula_sum 'Zn3 Cu8'
_cell_length_a 3.654
_cell_length_b 4.495
_cell_length_c 9.526
_cell_angle_alpha 104.37
_cell_angle_beta 90.00
_cell_angle_gamma 113.98
_symmetry_space_group_name_H-M 'P 1'
_symmetry_Int_Tables_number 1
_symmetry_space_group_name_Hall 'P 1'
loop_
_atom_site_label
_atom_site_type_symbol
_atom_site_fract_x
_atom_site_fract_y
_atom_site_fract_z
Cu1 Cu 0.727 0.454 0.089
Cu2 Cu 0.182 0.364 0.271
Cu3 Cu 0.818 0.636 0.729
Cu4 Cu 0.545 0.090 0.818
Cu5 Cu 0.637 0.274 0.453
Cu6 Cu 0.363 0.726 0.547
Cu7 Cu 0.273 0.546 0.911
Cu8 Cu 0.455 0.910 0.182
Zn1 Zn 0.094 0.187 0.639
Zn2 Zn 0.906 0.813 0.361
Zn3 Zn 0.000 0.000 0.000
# SG	C2/m, No. 12

***

ii | # PBE Zn3Cu8, optimized geometry
data_Zn3Cu8
_chemical_formula_sum 'Zn3 Cu8'
_cell_length_a 5.494
_cell_length_b 5.494
_cell_length_c 5.494
_cell_angle_alpha 94.87
_cell_angle_beta 94.87
_cell_angle_gamma 94.87
_symmetry_space_group_name_H-M 'P 1'
_symmetry_Int_Tables_number 1
_symmetry_space_group_name_Hall 'P 1'
loop_
_atom_site_label
_atom_site_type_symbol
_atom_site_fract_x
_atom_site_fract_y
_atom_site_fract_z
Cu1 Cu 0.079 0.944 0.310
Cu2 Cu 0.944 0.310 0.079
Cu3 Cu 0.921 0.056 0.690
Cu4 Cu 0.690 0.921 0.056
Cu5 Cu 0.644 0.644 0.644
Cu6 Cu 0.310 0.079 0.944
Cu7 Cu 0.056 0.690 0.921
Cu8 Cu 0.356 0.356 0.356
Zn1 Zn 0.500 0.000 0.500
Zn2 Zn 0.000 0.500 0.500
Zn3 Zn 0.500 0.500 0.000
# SG	R-3, No. 148

***

Stability order, top to bottom: i, ii